Below is a PBEsol-optimized structure of Li5CuF6, with properties calculated at the meta-GGA SCAN level.

## Properties
M_tot: 0.049 μB per cell
calculated total energy: -0.4979 Ry/atom
density of states at the Fermi level: 0.000 states/eV per atom

Unit cell a=5.028 b=5.028 c=5.058 alpha=100.42 beta=100.42 gamma=119.34
Fractional positions:
F1 0.084 0.439 0.254
F2 0.269 0.269 0.728
F3 0.561 0.916 0.746
F4 0.916 0.561 0.746
F5 0.731 0.731 0.272
F6 0.439 0.084 0.254
Li1 0.165 0.835 0.500
Li2 0.835 0.165 0.500
Li3 0.334 0.666 0.000
Li4 0.500 0.500 0.500
Li5 0.666 0.334 0.000
Cu1 0.000 0.000 0.000

***

Below is a PBEsol-optimized structure of HfCuTeW2, with properties calculated at the meta-GGA SCAN level.

## Properties
M_tot: 1.273 μB per cell
calculated total energy: -3.5617 Ry/atom
density of states at the Fermi level: 1.175 states/eV per atom

Unit cell a=4.818 b=4.818 c=5.222 alpha=90.00 beta=90.00 gamma=90.00
Last column: magnetic moment on the atom in μB.
Fractional positions:
W1 0.500 0.000 0.000  0.50
W2 0.000 0.500 0.000  0.50
Cu1 0.500 0.500 0.500  0.00
Te1 0.000 0.000 0.500  -0.05
Hf1 0.000 0.000 0.000  0.01

***

Below is a PBEsol-optimized structure of TlAu, with properties calculated at the meta-GGA SCAN level.

## Properties
M_tot: 0.000 μB per cell
energy relative to the elements: -0.0056 eV per atom
calculated total energy: -5.2010 Ry/atom
density of states at the Fermi level: 0.281 states/eV per atom

Unit cell a=3.975 b=3.975 c=4.164 alpha=61.49 beta=61.49 gamma=60.00
Fractional positions:
Tl1 0.500 0.500 0.500
Au1 0.000 0.000 0.000

***

Below is a PBEsol-optimized structure of TaTc2Mo, with properties calculated at the meta-GGA SCAN level.

## Properties
M_tot: 0.000 μB per cell
energy relative to the elements: -0.2507 eV per atom
offset from the most stable computed form: 0.0087 eV per atom
calculated total energy: -3.1713 Ry/atom
density of states at the Fermi level: 0.590 states/eV per atom

Unit cell a=4.409 b=4.409 c=4.409 alpha=60.00 beta=60.00 gamma=60.00
Fractional positions:
Tc1 0.750 0.750 0.750
Tc2 0.250 0.250 0.250
Ta1 0.500 0.500 0.500
Mo1 0.000 0.000 0.000

***

Below is a PBEsol-optimized structure of Mg2Cd3, with properties calculated at the meta-GGA SCAN level.

## Properties
M_tot: 0.000 μB per cell
energy relative to the elements: -0.0802 eV per atom
offset from the most stable computed form: 0.0000 eV per atom
calculated total energy: -1.4934 Ry/atom
density of states at the Fermi level: 0.350 states/eV per atom

Unit cell a=3.213 b=3.213 c=12.038 alpha=82.33 beta=82.33 gamma=60.00
Fractional positions:
Cd1 0.000 0.000 0.000
Cd2 0.200 0.200 0.399
Cd3 0.800 0.800 0.601
Mg1 0.400 0.400 0.800
Mg2 0.600 0.600 0.200

***

Below is a PBEsol-optimized structure of TeH2I, with properties calculated at the meta-GGA SCAN level.

## Properties
M_tot: 0.000 μB per cell
calculated total energy: -1.4602 Ry/atom
density of states at the Fermi level: 0.491 states/eV per atom

Unit cell a=5.568 b=6.467 c=5.568 alpha=64.50 beta=90.00 gamma=115.50
Fractional positions:
Te1 0.500 0.000 0.500
Te2 0.250 0.500 0.250
H1 0.375 0.750 0.375
H2 0.875 0.250 0.375
H3 0.375 0.750 0.875
H4 0.375 0.250 0.375
I1 0.750 0.500 0.750
I2 0.000 0.000 0.000

***

Below is a PBEsol-optimized structure of Ca3CrAg, with properties calculated at the meta-GGA SCAN level.

## Properties
M_tot: 4.743 μB per cell
energy relative to the elements: 0.6240 eV per atom
calculated total energy: -1.1116 Ry/atom
density of states at the Fermi level: 1.092 states/eV per atom

Unit cell a=5.522 b=5.522 c=5.522 alpha=90.00 beta=90.00 gamma=90.00
Last column: magnetic moment on the atom in μB.
Fractional positions:
Cr1 0.000 0.000 0.000  4.08
Ca1 0.500 0.000 0.000  0.06
Ca2 0.000 0.000 0.500  0.06
Ca3 0.000 0.500 0.000  0.06
Ag1 0.500 0.500 0.500  0.01

***

Below is a PBEsol-optimized structure of In3IrBr, with properties calculated at the meta-GGA SCAN level.

## Properties
M_tot: 0.000 μB per cell
calculated total energy: -2.8399 Ry/atom
density of states at the Fermi level: 0.423 states/eV per atom

Unit cell a=5.140 b=5.140 c=5.140 alpha=90.00 beta=90.00 gamma=90.00
Fractional positions:
In1 0.000 0.000 0.500
In2 0.000 0.500 0.000
In3 0.500 0.000 0.000
Br1 0.500 0.500 0.500
Ir1 0.000 0.000 0.000

***

Below is a PBEsol-optimized structure of HgAs2PtSe, with properties calculated at the meta-GGA SCAN level.

## Properties
M_tot: 0.840 μB per cell
calculated total energy: -2.8858 Ry/atom
density of states at the Fermi level: 0.825 states/eV per atom

Unit cell a=4.790 b=4.790 c=5.183 alpha=90.00 beta=90.00 gamma=90.00
Last column: magnetic moment on the atom in μB.
Fractional positions:
Pt1 0.000 0.000 0.000  0.04
As1 0.500 0.000 0.000  0.17
As2 0.000 0.500 0.000  0.17
Se1 0.000 0.000 0.500  0.07
Hg1 0.500 0.500 0.500  0.02

***

Below is a PBEsol-optimized structure of AlCo2Se, with properties calculated at the meta-GGA SCAN level.

## Properties
M_tot: 2.746 μB per cell
offset from the most stable computed form: 0.2236 eV per atom
calculated total energy: -1.1302 Ry/atom
density of states at the Fermi level: 0.598 states/eV per atom

Unit cell a=2.920 b=2.920 c=7.618 alpha=78.95 beta=78.95 gamma=60.00
Last column: magnetic moment on the atom in μB.
Fractional positions:
Se1 0.489 0.489 0.534  -0.09
Al1 0.259 0.259 0.224  -0.01
Co1 0.750 0.750 0.750  1.40
Co2 0.002 0.002 0.993  1.57

***

Below is a PBEsol-optimized structure of Ba4PbBr, with properties calculated at the meta-GGA SCAN level.

## Properties
M_tot: 0.000 μB per cell
calculated total energy: -3.1184 Ry/atom
density of states at the Fermi level: 0.672 states/eV per atom

Unit cell a=7.056 b=7.056 c=7.056 alpha=60.00 beta=60.00 gamma=60.00
Fractional positions:
Br1 0.750 0.750 0.750
Ba1 0.374 0.877 0.374
Ba2 0.374 0.374 0.374
Ba3 0.877 0.374 0.374
Ba4 0.374 0.374 0.877
Pb1 0.000 0.000 0.000

***

Below is a PBEsol-optimized structure of InP2OsRh, with properties calculated at the meta-GGA SCAN level.

## Properties
M_tot: 0.003 μB per cell
energy relative to the elements: 0.6785 eV per atom
calculated total energy: -2.2997 Ry/atom
density of states at the Fermi level: 0.800 states/eV per atom

Unit cell a=4.442 b=4.442 c=5.004 alpha=90.00 beta=90.00 gamma=90.00
Fractional positions:
In1 0.500 0.500 0.500
P1 0.500 0.000 0.000
P2 0.000 0.500 0.000
Rh1 0.000 0.000 0.500
Os1 0.000 0.000 0.000

***

Below is a PBEsol-optimized structure of IrRu, with properties calculated at the meta-GGA SCAN level.

## Properties
M_tot: 0.000 μB per cell
energy relative to the elements: -0.0487 eV per atom
offset from the most stable computed form: 0.0258 eV per atom
calculated total energy: -3.8963 Ry/atom
density of states at the Fermi level: 0.764 states/eV per atom

Unit cell a=3.796 b=3.796 c=4.647 alpha=114.10 beta=114.10 gamma=90.00
Fractional positions:
Ru1 0.750 0.250 0.500
Ru2 0.500 0.500 0.000
Ir1 0.000 0.000 0.000
Ir2 0.250 0.750 0.500

***

Below is a PBEsol-optimized structure of NbIrI2F, with properties calculated at the meta-GGA SCAN level.

## Properties
M_tot: 1.205 μB per cell
calculated total energy: -2.5985 Ry/atom
density of states at the Fermi level: 0.741 states/eV per atom

Unit cell a=3.899 b=5.239 c=5.239 alpha=90.00 beta=90.00 gamma=90.00
Last column: magnetic moment on the atom in μB.
Fractional positions:
F1 0.000 0.000 0.000  -0.04
Ir1 0.500 0.000 0.000  -1.20
Nb1 0.500 0.500 0.500  2.28
I1 0.000 0.500 0.000  -0.26
I2 0.000 0.000 0.500  -0.26

***

Below is a PBEsol-optimized structure of NaScReC2, with properties calculated at the meta-GGA SCAN level.

## Properties
M_tot: 2.929 μB per cell
energy relative to the elements: 2.5164 eV per atom
calculated total energy: -1.4283 Ry/atom
density of states at the Fermi level: 0.559 states/eV per atom

Unit cell a=4.335 b=4.335 c=4.891 alpha=90.00 beta=90.00 gamma=90.00
Last column: magnetic moment on the atom in μB.
Fractional positions:
C1 0.500 0.000 0.000  -0.05
C2 0.000 0.500 0.000  -0.05
Re1 0.000 0.000 0.500  2.39
Sc1 0.000 0.000 0.000  -0.04
Na1 0.500 0.500 0.500  0.01

***

Below is a PBEsol-optimized structure of MgPdS2Cl, with properties calculated at the meta-GGA SCAN level.

## Properties
M_tot: 0.000 μB per cell
calculated total energy: -0.9717 Ry/atom
density of states at the Fermi level: 0.451 states/eV per atom

Unit cell a=4.670 b=4.682 c=4.682 alpha=90.00 beta=90.00 gamma=90.00
Fractional positions:
Cl1 0.500 0.000 0.000
S1 0.000 0.500 0.000
S2 0.000 0.000 0.500
Pd1 0.000 0.000 0.000
Mg1 0.500 0.500 0.500

***

Below is a PBEsol-optimized structure of AgBF2, with properties calculated at the meta-GGA SCAN level.

## Properties
M_tot: 0.000 μB per cell
calculated total energy: -0.8486 Ry/atom
density of states at the Fermi level: 0.000 states/eV per atom

Unit cell a=4.018 b=4.018 c=4.018 alpha=60.00 beta=60.00 gamma=60.00
Fractional positions:
F1 0.250 0.250 0.250
F2 0.750 0.750 0.750
Ag1 0.500 0.500 0.500
B1 0.000 0.000 0.000

***

Below is a PBEsol-optimized structure of Cu24Au5, with properties calculated at the meta-GGA SCAN level.

## Properties
M_tot: 0.000 μB per cell
energy relative to the elements: 0.0179 eV per atom
calculated total energy: -1.7996 Ry/atom
density of states at the Fermi level: 0.287 states/eV per atom

Unit cell a=7.744 b=7.744 c=7.744 alpha=109.47 beta=109.47 gamma=109.47
Fractional positions:
Cu1 0.379 0.000 0.192
Cu2 0.379 0.192 0.000
Cu3 0.808 0.808 0.187
Cu4 0.187 0.808 0.808
Cu5 0.726 0.323 0.323
Cu6 0.323 0.726 0.323
Cu7 0.404 0.677 0.000
Cu8 0.000 0.192 0.379
Cu9 0.621 0.621 0.813
Cu10 0.000 0.404 0.677
Cu11 0.000 0.677 0.404
Cu12 0.274 0.596 0.596
Cu13 0.677 0.000 0.404
Cu14 0.596 0.274 0.596
Cu15 0.192 0.000 0.379
Cu16 0.621 0.813 0.621
Cu17 0.808 0.187 0.808
Cu18 0.404 0.000 0.677
Cu19 0.813 0.621 0.621
Cu20 0.192 0.379 0.000
Cu21 0.596 0.596 0.274
Cu22 0.000 0.379 0.192
Cu23 0.677 0.404 0.000
Cu24 0.323 0.323 0.726
Au1 0.000 0.000 0.632
Au2 0.632 0.000 0.000
Au3 0.368 0.368 0.368
Au4 0.000 0.000 0.000
Au5 0.000 0.632 0.000

***

Below is a PBEsol-optimized structure of YCr2Si, with properties calculated at the meta-GGA SCAN level.

## Properties
M_tot: 0.000 μB per cell
calculated total energy: -1.3531 Ry/atom
density of states at the Fermi level: 0.893 states/eV per atom

Unit cell a=3.045 b=4.357 c=5.000 alpha=90.00 beta=95.34 gamma=90.00
Fractional positions:
Y1 0.000 0.500 0.500
Cr1 0.690 0.000 0.840
Cr2 0.310 0.000 0.160
Si1 0.500 0.500 0.000

***

Below is a PBEsol-optimized structure of YGeH2Se, with properties calculated at the meta-GGA SCAN level.

## Properties
M_tot: 0.000 μB per cell
offset from the most stable computed form: 0.0000 eV per atom
calculated total energy: -1.1154 Ry/atom
density of states at the Fermi level: 0.331 states/eV per atom

Unit cell a=3.850 b=3.850 c=5.999 alpha=90.00 beta=90.00 gamma=90.00
Fractional positions:
Se1 0.500 0.500 0.500
Y1 0.000 0.000 0.500
Ge1 0.000 0.000 0.000
H1 0.500 0.000 0.000
H2 0.000 0.500 0.000